(1)
# YPbBr2 PBE-GGA relaxed
data_YPbBr2
_symmetry_space_group_name_H-M 'C m m 2'
_symmetry_Int_Tables_number 35
_symmetry_space_group_name_Hall 'C 2 -2'
_cell_length_a 4.072
_cell_length_b 6.363
_cell_length_c 10.178
_cell_angle_alpha 90.00
_cell_angle_beta 90.00
_cell_angle_gamma 90.00
loop_
_atom_site_label
_atom_site_type_symbol
_atom_site_fract_x
_atom_site_fract_y
_atom_site_fract_z
Y1 Y 0.000 0.000 0.000
Pb1 Pb 0.000 0.500 0.741
Br1 Br 0.000 0.000 0.528
Br2 Br 0.000 0.500 0.190
# D(E_F): 4.112 states/eV/f.u.
# ΔE_f (raw): -0.654 eV per atom
# DFT total energy: -4.0336 eV/atom


(2)
# Tb2SmY9 PBE-GGA relaxed
data_Tb2SmY9
_symmetry_space_group_name_H-M 'P 4/m m m'
_symmetry_Int_Tables_number 123
_symmetry_space_group_name_Hall '-P 4 2'
_cell_length_a 5.055
_cell_length_b 5.055
_cell_length_c 15.168
_cell_angle_alpha 90.00
_cell_angle_beta 90.00
_cell_angle_gamma 90.00
loop_
_atom_site_label
_atom_site_type_symbol
_atom_site_fract_x
_atom_site_fract_y
_atom_site_fract_z
Tb1 Tb 0.000 0.000 0.166
Sm1 Sm 0.000 0.000 0.500
Y1 Y 0.000 0.500 0.000
Y2 Y 0.000 0.500 0.332
Y3 Y 0.500 0.500 0.166
Y4 Y 0.500 0.500 0.500
# formation energy: 2.28 kJ/mol of atoms
# D(E_F): 18.096 states/eV/f.u.
# DFT total energy: -5.9894 eV/atom


(3)
# NdSmGaRu PBE-GGA relaxed
data_NdSmGaRu
_symmetry_space_group_name_H-M 'A m m 2'
_symmetry_Int_Tables_number 38
_symmetry_space_group_name_Hall 'A 2 -2'
_cell_length_a 4.376
_cell_length_b 4.069
_cell_length_c 10.978
_cell_angle_alpha 90.00
_cell_angle_beta 90.00
_cell_angle_gamma 90.00
loop_
_atom_site_label
_atom_site_type_symbol
_atom_site_fract_x
_atom_site_fract_y
_atom_site_fract_z
Nd1 Nd 0.000 0.000 0.000
Sm1 Sm 0.500 0.000 0.720
Ga1 Ga 0.500 0.000 0.423
Ru1 Ru 0.000 0.000 0.297
# formation energy: -39.57 kJ/mol of atoms
# D(E_F): 3.334 states/eV/f.u.
# DFT total energy: -5.8575 eV/atom